[1]
Below is a relaxed BeCdCuSb crystal, with properties calculated at the PBE level.

Results
ΔE to the lowest computed polymorph   0 meV per atom

Cell and atoms, written as POSCAR:
```
BeCdCuSb
1.0
0.000 3.282 3.282
3.282 0.000 3.282
3.282 3.282 0.000
Cu Be Sb Cd
1 1 1 1
direct
0.250 0.250 0.250 Cu
0.750 0.750 0.750 Be
0.000 0.000 0.000 Sb
0.500 0.500 0.500 Cd
```


[2]
Below is a relaxed ScHgS2 crystal, with properties calculated at the PBE level.

Results
Total DFT energy (no corrections)   -4.773 eV/atom

Cell and atoms, written as POSCAR:
```
ScHgS2
1.0
-1.950 1.135 2.923
1.364 -0.422 3.406
3.590 7.378 -0.456
S Hg Sc
2 1 1
direct
0.600 0.863 0.199 S
0.602 0.856 0.554 S
0.610 0.849 0.877 Hg
0.934 0.194 0.377 Sc
```